Entry from Alexandria: a relaxed SrHoTh2 crystal (GGA-PBE).

The calculation puts the theoretical density at 8.3 g cm⁻³. For the density of states at the Fermi level, the calculation gives 6.31 states/eV/f.u. The value obtained for the calculated total energy is -59.67 eV per cell. The value obtained for the formation energy is 302.6 meV/atom.

It has space group R-3m (No. 166, hexagonal axes), with a = 3.5541 Å, b = 3.5541 Å, c = 39.1047 Å, α = 90.00°, β = 90.00° and γ = 120.00°. Symmetry generates all atoms from Sr at (0.0000, 0.0000, 0.0000), Ho at (0.0000, 0.0000, 0.5000) and Th at (0.0000, 0.0000, 0.0920).



Entry from Alexandria: a relaxed KLaEuSbO6 crystal (GGA-PBE).

Its uncorrected formation energy is -210.8 kJ per mole of atoms. The calculation puts the theoretical density at 5.6 g cm⁻³. For the density of states at the Fermi level, the calculation gives 14.20 states/eV/f.u. The value obtained for the calculated total energy is -288.08 eV per cell.

It has space group F-43m (No. 216), with a = 8.648 Å, b = 8.648 Å, c = 8.648 Å, α = 90.00°, β = 90.00° and γ = 90.00°. Symmetry generates all atoms from K at (0.000, 0.000, 0.000), La at (0.250, 0.250, 0.750), Eu at (0.000, 0.000, 0.500), Sb at (0.250, 0.250, 0.250) and O at (0.019, 0.250, 0.250).



Entry from Alexandria: a relaxed N crystal (GGA-PBE).

Its uncorrected formation energy is 103.0 kJ per mole of atoms. The calculation puts the theoretical density at 1.7 g cm⁻³. For the density of states at the Fermi level, the calculation gives 0.46 states/eV/f.u. The value obtained for the calculated total energy is -58.06 eV per cell.

It has space group I4/mmm (No. 139), with a = 7.030 Å, b = 7.030 Å, c = 2.177 Å, α = 90.00°, β = 90.00° and γ = 90.00°. Symmetry generates all atoms from N at (0.214, 0.214, 0.000).



Entry from Alexandria: a relaxed EuY2Bi crystal (GGA-PBE).

The calculation puts the theoretical density at 7.3 g cm⁻³. For the density of states at the Fermi level, the calculation gives 5.76 states/eV/f.u. The value obtained for the calculated total energy is -28.43 eV per cell. The value obtained for the formation energy is -336.6 meV/atom.

It has space group P4/mmm (No. 123), with a = 4.994 Å, b = 4.994 Å, c = 4.889 Å, α = 90.00°, β = 90.00° and γ = 90.00°. Symmetry generates all atoms from Eu at (0.000, 0.000, 0.000), Y at (0.000, 0.500, 0.500) and Bi at (0.500, 0.500, 0.000).